The following is a PBE-GGA calculation of a geometry-optimized In12Ga6Sn structure, from Alexandria.

## Properties
ΔH_f (0 K) (kJ/mol of atoms): 5.73
Fermi-level density of states (states/eV/cell): 6.28
Offset from the most stable computed form (meV per atom): 0.0
Symmetry: R-3

a = 7.842 Å, b = 7.842 Å, c = 7.842 Å
α = 88.79°, β = 88.79°, γ = 88.79°
Sites, in units of the cell vectors:
1 In 0.019 0.308 0.926
2 In 0.074 0.981 0.692
3 In 0.117 0.341 0.461
4 In 0.308 0.926 0.019
5 In 0.341 0.461 0.117
6 In 0.461 0.117 0.341
7 In 0.539 0.883 0.659
8 In 0.659 0.539 0.883
9 In 0.692 0.074 0.981
10 In 0.883 0.659 0.539
11 In 0.926 0.019 0.308
12 In 0.981 0.692 0.074
13 Ga 0.226 0.622 0.752
14 Ga 0.248 0.774 0.378
15 Ga 0.378 0.248 0.774
16 Ga 0.622 0.752 0.226
17 Ga 0.752 0.226 0.622
18 Ga 0.774 0.378 0.248
19 Sn 0.500 0.500 0.500